# 1
A plane-wave DFT calculation with PBE was carried out for an optimized crystal structure of Tb3Sm4Sn4.

Lattice parameters (Å, degrees): 3.5667 9.6385 10.7947 116.52 99.51 90.00
With the nearest neighbours (Å) after each atom.
Fractional coordinates of all 11 atoms:
Sm 0.3363 0.5144 0.6727  4 Sn 3.25-3.32, 3 Sm 3.43-3.57
Sm 0.6637 0.4856 0.3273  4 Sn 3.25-3.32, 3 Sm 3.43-3.57
Sm 0.6637 0.8417 0.3273  4 Sn 3.25-3.32, 3 Sm 3.43-3.57
Sm 0.3363 0.1583 0.6727  4 Sn 3.25-3.32, 3 Sm 3.43-3.57
Sn 0.7255 0.2255 0.4510  2 Tb 3.11, 6 Sm 3.25-3.32
Sn 0.2745 0.7745 0.5490  2 Tb 3.11, 6 Sm 3.25-3.32
Sn 0.5000 0.2216 0.0000  6 Tb 3.22-3.28, 2 Sm 3.25, 2 Sn 3.57
Sn 0.5000 0.7784 0.0000  6 Tb 3.22-3.28, 2 Sm 3.25, 2 Sn 3.57
Tb 0.0911 0.0911 0.1822  6 Sn 3.11-3.28, 1 Tb 3.46
Tb 0.9089 0.9089 0.8178  6 Sn 3.11-3.28, 1 Tb 3.46
Tb 0.0000 0.5000 0.0000  4 Sn 3.22, 2 Tb 3.57

Properties
- Energy relative to the elements: -6.1 eV/f.u.
- Crystal system: orthorhombic
- Space-group type: No. 71
- DFT total energy: -4.985 eV/atom

***

# 2
A plane-wave DFT calculation with PBE was carried out for an optimized crystal structure of Tb2Sm5Sn4.

Lattice parameters (Å, degrees): 4.4192 7.8299 11.7545 115.39 100.83 90.00
With the nearest neighbours (Å) after each atom.
Fractional coordinates of all 11 atoms:
Sn 0.9786 0.2484 0.9573  3 Sm 3.12-3.18, 4 Tb 3.24-3.25
Sn 0.0214 0.7516 0.0427  3 Sm 3.12-3.18, 4 Tb 3.24-3.25
Sn 0.2838 0.3217 0.5675  1 Tb 3.02, 6 Sm 3.14-3.25
Sn 0.7162 0.6783 0.4325  1 Tb 3.02, 6 Sm 3.14-3.25
Sm 0.5000 0.0000 0.0000  4 Sn 3.12
Sm 0.1487 0.3445 0.2973  3 Sn 3.20-3.25, 2 Tb 3.58
Sm 0.8264 0.0956 0.6528  4 Sn 3.14-3.24
Sm 0.8513 0.6555 0.7027  3 Sn 3.20-3.25, 2 Tb 3.58
Sm 0.1736 0.9044 0.3472  4 Sn 3.14-3.24
Tb 0.5719 0.5431 0.1438  5 Sn 3.02-3.25, 1 Tb 3.09
Tb 0.4281 0.4569 0.8562  5 Sn 3.02-3.25, 1 Tb 3.09

Properties
- Energy relative to the elements: -4.6 eV/f.u.
- Crystal system: monoclinic
- Space-group type: No. 12
- DFT total energy: -4.857 eV/atom

***

# 3
A plane-wave DFT calculation with PBE was carried out for an optimized crystal structure of Tb6SmSn4.

Lattice parameters (Å, degrees): 8.1156 8.1156 8.1156 86.87 121.82 121.82
With the nearest neighbours (Å) after each atom.
Fractional coordinates of all 11 atoms:
Tb 0.5000 0.0000 0.5000  4 Sn 3.02
Tb 0.6745 0.1640 0.1640  4 Sn 3.05-3.21
Tb 0.0000 0.5105 0.8360  4 Sn 3.05-3.21
Tb 0.5000 0.5000 0.0000  4 Sn 3.02
Tb 0.0000 0.8360 0.5105  4 Sn 3.05-3.21
Tb 0.3255 0.4895 0.4895  4 Sn 3.05-3.21
Sn 0.0000 0.6255 0.1872  6 Tb 3.02-3.21, 1 Sm 3.32
Sn 0.5617 0.3745 0.3745  6 Tb 3.02-3.21, 1 Sm 3.32
Sn 0.4383 0.8128 0.8128  6 Tb 3.02-3.21, 1 Sm 3.32
Sn 0.0000 0.1872 0.6255  6 Tb 3.02-3.21, 1 Sm 3.32
Sm 0.0000 0.0000 0.0000  4 Sn 3.32

Properties
- Energy relative to the elements: -3.8 eV/f.u.
- Crystal system: tetragonal
- Space-group type: No. 121
- DFT total energy: -4.757 eV/atom

***

# 4
A plane-wave DFT calculation with PBE was carried out for an optimized crystal structure of Tb6Sm8Sn.

Lattice parameters (Å, degrees): 6.5644 9.3107 9.3107 120.00 90.00 90.00
With the nearest neighbours (Å) after each atom.
Fractional coordinates of all 15 atoms:
Tb 0.3338 0.0953 0.4460  1 Tb 3.27, 4 Sm 3.31-3.61
Tb 0.3338 0.5540 0.6493  1 Tb 3.27, 4 Sm 3.31-3.61
Tb 0.6662 0.9047 0.5540  1 Tb 3.27, 4 Sm 3.31-3.61
Tb 0.6662 0.6493 0.0953  1 Tb 3.27, 4 Sm 3.31-3.61
Tb 0.3338 0.3507 0.9047  1 Tb 3.27, 4 Sm 3.31-3.61
Tb 0.6662 0.4460 0.3507  1 Tb 3.27, 4 Sm 3.31-3.61
Sm 0.1803 0.7711 0.0398  1 Sn 3.14, 2 Tb 3.31-3.51, 3 Sm 3.33-3.34
Sm 0.8197 0.2290 0.9602  1 Sn 3.14, 2 Tb 3.31-3.51, 3 Sm 3.33-3.34
Sm 0.1803 0.9602 0.7313  1 Sn 3.14, 2 Tb 3.31-3.51, 3 Sm 3.33-3.34
Sm 0.8197 0.7313 0.7710  1 Sn 3.14, 2 Tb 3.31-3.51, 3 Sm 3.33-3.34
Sm 0.8586 0.3333 0.6667  3 Sm 3.34
Sm 0.1803 0.2687 0.2289  1 Sn 3.14, 2 Tb 3.31-3.51, 3 Sm 3.33-3.34
Sm 0.8197 0.0398 0.2687  1 Sn 3.14, 2 Tb 3.31-3.51, 3 Sm 3.33-3.34
Sm 0.1414 0.6667 0.3333  3 Sm 3.34
Sn 0.5000 0.0000 0.0000  6 Sm 3.14

Properties
- Energy relative to the elements: 0.6 eV/f.u.
- Crystal system: trigonal
- Space-group type: No. 147
- DFT total energy: -4.595 eV/atom

***

# 5
A plane-wave DFT calculation with PBE was carried out for an optimized crystal structure of Tb3SmSn2.

Lattice parameters (Å, degrees): 7.4075 7.5025 8.9927 114.65 114.32 90.00
With the nearest neighbours (Å) after each atom.
Fractional coordinates of all 12 atoms:
Sn 0.5422 0.3579 0.7159  6 Tb 3.11-3.17, 1 Sm 3.12
Sn 0.4578 0.6421 0.2841  6 Tb 3.11-3.17, 1 Sm 3.12
Sn 0.1737 0.8579 0.7159  6 Tb 3.11-3.17, 1 Sm 3.12
Sn 0.8263 0.1421 0.2841  6 Tb 3.11-3.17, 1 Sm 3.12
Tb 0.2133 0.4633 0.4265  4 Sn 3.13-3.17
Tb 0.7867 0.5367 0.5735  4 Sn 3.13-3.17
Tb 0.7867 0.0367 0.5735  4 Sn 3.13-3.17
Tb 0.5000 0.2500 0.0000  4 Sn 3.11
Tb 0.5000 0.7500 0.0000  4 Sn 3.11
Tb 0.2133 0.9633 0.4265  4 Sn 3.13-3.17
Sm 0.0000 0.5000 0.0000  2 Sn 3.12
Sm 0.0000 0.0000 0.0000  2 Sn 3.12

Properties
- Energy relative to the elements: -1.9 eV/f.u.
- Crystal system: orthorhombic
- Space-group type: No. 72
- DFT total energy: -4.757 eV/atom

***

# 6
A plane-wave DFT calculation with PBE was carried out for an optimized crystal structure of TbSm2Sn.

Lattice parameters (Å, degrees): 3.5504 3.5504 12.2910 81.70 81.70 60.00
With the nearest neighbours (Å) after each atom.
Fractional coordinates of all 4 atoms:
Sn 0.0000 0.0000 0.0000  2 Sm 3.17
Sm 0.9129 0.9129 0.2613  1 Sn 3.17, 3 Tb 3.55
Sm 0.0871 0.0871 0.7387  1 Sn 3.17, 3 Tb 3.55
Tb 0.5000 0.5000 0.5000  6 Sm 3.55, 6 Tb 3.55

Properties
- Energy relative to the elements: 0.2 eV/f.u.
- Crystal system: trigonal
- Space-group type: No. 166
- DFT total energy: -4.470 eV/atom